CdIn2Ge2Rh5: relaxed, PBE.

```
CdIn2Ge2Rh5
1.0
9.742 0.000 0.000
0.000 9.742 0.000
0.000 0.000 3.543
Cd In Ge Rh
2 4 4 10
Direct
0.000 0.000 0.000
0.500 0.500 0.000
0.173 0.327 0.000
0.327 0.827 0.000
0.673 0.173 0.000
0.827 0.673 0.000
0.128 0.628 0.000
0.372 0.128 0.000
0.628 0.872 0.000
0.872 0.372 0.000
0.000 0.500 0.500
0.082 0.795 0.500
0.205 0.082 0.500
0.295 0.582 0.500
0.418 0.295 0.500
0.500 0.000 0.500
0.582 0.705 0.500
0.705 0.418 0.500
0.795 0.918 0.500
0.918 0.205 0.500
```

Calculated values
**Space group**: P4/mbm
**DFT total energy**: -5.498 eV/atom

***

Cd2InSnGe: relaxed, PBE.

```
Cd2InSnGe
1.0
5.190 0.000 0.000
0.000 5.190 0.000
0.000 0.000 5.451
Cd In Sn Ge
2 1 1 1
Direct
0.000 0.500 0.000
0.500 0.000 0.000
0.000 0.000 0.500
0.500 0.500 0.500
0.000 0.000 0.000
```

Calculated values
**Space group**: P4/mmm
**DFT total energy**: -2.252 eV/atom

***

Sr2Cd3In4Ge: relaxed, PBE.

```
Sr2Cd3In4Ge
1.0
4.814 0.000 0.000
0.000 4.814 0.000
0.000 0.000 12.139
Sr Cd In Ge
2 3 4 1
Direct
0.000 0.500 0.239
0.500 0.000 0.761
0.000 0.000 0.000
0.000 0.500 0.642
0.500 0.000 0.358
0.000 0.000 0.500
0.000 0.500 0.871
0.500 0.000 0.129
0.500 0.500 0.500
0.500 0.500 0.000
```

Calculated values
**Space group**: P-4m2
**DFT total energy**: -2.434 eV/atom

***

Sr2Cd4InGe3: relaxed, PBE.

```
Sr2Cd4InGe3
1.0
4.623 0.000 0.000
0.000 4.623 0.000
0.000 0.000 11.921
Sr Cd In Ge
2 4 1 3
Direct
0.000 0.500 0.242
0.500 0.000 0.758
0.000 0.000 0.000
0.000 0.500 0.642
0.500 0.000 0.358
0.500 0.500 0.000
0.000 0.000 0.500
0.000 0.500 0.864
0.500 0.000 0.136
0.500 0.500 0.500
```

Calculated values
**Space group**: P-4m2
**DFT total energy**: -2.649 eV/atom

***

Sr2Cd4In3Ge: relaxed, PBE.

```
Sr2Cd4In3Ge
1.0
4.748 0.000 0.000
0.000 4.748 0.000
0.000 0.000 12.231
Sr Cd In Ge
2 4 3 1
Direct
0.000 0.500 0.243
0.500 0.000 0.757
0.000 0.000 0.500
0.000 0.500 0.867
0.500 0.000 0.133
0.500 0.500 0.500
0.000 0.000 0.000
0.000 0.500 0.639
0.500 0.000 0.361
0.500 0.500 0.000
```

Calculated values
**Space group**: P-4m2
**DFT total energy**: -2.243 eV/atom

***

Sr2Cd3InGe4: relaxed, PBE.

```
Sr2Cd3InGe4
1.0
4.721 0.000 0.000
0.000 4.721 0.000
0.000 0.000 11.371
Sr Cd In Ge
2 3 1 4
Direct
0.000 0.500 0.239
0.500 0.000 0.761
0.000 0.500 0.871
0.500 0.000 0.129
0.500 0.500 0.500
0.000 0.000 0.500
0.000 0.000 0.000
0.000 0.500 0.638
0.500 0.000 0.362
0.500 0.500 0.000
```

Calculated values
**Space group**: P-4m2
**DFT total energy**: -2.991 eV/atom

***

TaCd2InGe: relaxed, PBE.

```
TaCd2InGe
1.0
5.068 0.000 0.000
0.000 5.068 0.000
0.000 0.000 5.047
Ta Cd In Ge
1 2 1 1
Direct
0.000 0.000 0.000
0.000 0.500 0.500
0.500 0.000 0.500
0.500 0.500 0.000
0.000 0.000 0.500
```

Calculated values
**Space group**: P4/mmm
**DFT total energy**: -3.421 eV/atom

***

CdInTc2Ge: relaxed, PBE.

```
CdInTc2Ge
1.0
4.694 0.000 0.000
0.000 4.694 0.000
0.000 0.000 4.833
Cd In Tc Ge
1 1 2 1
Direct
0.000 0.000 0.000
0.500 0.500 0.000
0.000 0.500 0.500
0.500 0.000 0.500
0.000 0.000 0.500
```

Calculated values
**Space group**: P4/mmm
**DFT total energy**: -4.843 eV/atom